# 1
{
  "formula": "InTeIr2",
  "functional": "PBE",
  "state": "optimized geometry",
  "cell": [[-0.8000, -1.3885, -3.2910], [-0.7999, -3.9728, 1.8706], [-4.2815, 1.1280, 0.5648]],
  "species": ["Ir", "Ir", "In", "Te"],
  "frac_coords": [[0.0000, 0.0000, 0.0000], [0.0000, 0.5000, 0.5000], [0.5000, 0.0000, 0.5000], [0.5000, 0.5000, 0.0000]],
  "vol_a3_per_cell": 73,
  "energy_ev_per_atom": -5.59
}

***

# 2
{
  "formula": "InTeIr",
  "functional": "PBE",
  "state": "optimized geometry",
  "cell": [[-2.9529, 0.7513, 0.5836], [-4.2727, 0.5510, -5.9822], [-1.4297, -6.3322, 1.0474]],
  "species": ["Te", "Te", "In", "In", "Ir", "Ir"],
  "frac_coords": [[0.3059, 0.7625, 0.0659], [0.4782, 0.0877, 0.7491], [0.9813, 0.5854, 0.5578], [0.7973, 0.2693, 0.2481], [0.6587, 0.4082, 0.8536], [0.1535, 0.9132, 0.4498]],
  "vol_a3_per_cell": 136,
  "energy_ev_per_atom": -4.82
}

***

# 3
{
  "formula": "InTe2Ir",
  "functional": "PBE",
  "state": "optimized geometry",
  "cell": [[-4.8435, -0.0770, -2.2150], [-0.1909, -4.7162, -2.4683], [1.2935, 1.0207, 5.0652]],
  "species": ["Te", "Te", "Ir", "In"],
  "frac_coords": [[0.0000, 0.0000, 0.0000], [0.2500, 0.7500, 0.5000], [0.7500, 0.2500, 0.5000], [0.5000, 0.5000, 0.0000]],
  "vol_a3_per_cell": 91,
  "energy_ev_per_atom": -3.92
}

***

# 4
{
  "formula": "InTe8Ir4",
  "functional": "PBE",
  "state": "optimized geometry",
  "cell": [[-4.1851, 6.8524, 1.2771], [-4.6735, 0.7367, 6.6119], [2.1921, 5.0465, 5.9858]],
  "species": ["Te", "Te", "Te", "Te", "Te", "Te", "Te", "Te", "Ir", "Ir", "Ir", "Ir", "In"],
  "frac_coords": [[0.1413, 0.5760, 0.1413], [0.1413, 0.1413, 0.5760], [0.1816, 0.6061, 0.6061], [0.6061, 0.6061, 0.1816], [0.6061, 0.1816, 0.6061], [0.6061, 0.6061, 0.6061], [0.5760, 0.1413, 0.1413], [0.1413, 0.1413, 0.1413], [0.8835, 0.3722, 0.3722], [0.3722, 0.3722, 0.8835], [0.3722, 0.8835, 0.3722], [0.3722, 0.3722, 0.3722], [0.7500, 0.7500, 0.7500]],
  "vol_a3_per_cell": 380,
  "energy_ev_per_atom": -5.11
}

***

# 5
{
  "formula": "InTe2Ir",
  "functional": "PBE",
  "state": "optimized geometry",
  "cell": [[3.1291, 0.0000, 0.0000], [0.0000, 4.5066, -0.0689], [0.0000, 1.9471, 7.7078]],
  "species": ["Te", "Te", "Ir", "In"],
  "frac_coords": [[0.5000, 0.1854, 0.3046], [0.0000, 0.8650, 0.9353], [0.5000, 0.9649, 0.6496], [0.0000, 0.4847, 0.6105]],
  "vol_a3_per_cell": 109,
  "energy_ev_per_atom": -4.50
}

***

# 6
{
  "formula": "InTeIr2",
  "functional": "PBE",
  "state": "optimized geometry",
  "cell": [[-0.8201, -4.6308, -0.5479], [0.3936, -1.9836, -4.2810], [3.5891, -2.9469, -0.9227]],
  "species": ["Te", "Ir", "Ir", "In"],
  "frac_coords": [[0.2500, 0.2500, 0.2500], [0.7500, 0.7500, 0.7500], [0.0000, 0.0000, 0.0000], [0.5000, 0.5000, 0.5000]],
  "vol_a3_per_cell": 75,
  "energy_ev_per_atom": -5.23
}

***

# 7
{
  "formula": "InTeIr",
  "functional": "PBE",
  "state": "optimized geometry",
  "cell": [[6.6622, 0.0128, 0.0066], [5.0016, 4.4011, -0.0066], [-5.9622, -1.8628, 2.3170]],
  "species": ["Ir", "Te", "In"],
  "frac_coords": [[0.3216, 0.3216, 0.0000], [0.7056, 0.7056, 0.0000], [0.9728, 0.9728, 0.0000]],
  "vol_a3_per_cell": 68,
  "energy_ev_per_atom": -4.73
}

***

# 8
{
  "formula": "InTe2Ir",
  "functional": "PBE",
  "state": "optimized geometry",
  "cell": [[5.2278, -0.0071, 0.0000], [0.0117, 5.2278, 0.0000], [0.0000, 0.0000, 3.3093]],
  "species": ["Te", "Te", "In", "Ir"],
  "frac_coords": [[0.5000, 0.5000, 0.0000], [0.0000, 0.0000, 0.0000], [0.5000, 0.0000, 0.5000], [0.0000, 0.5000, 0.5000]],
  "vol_a3_per_cell": 90,
  "energy_ev_per_atom": -4.03
}

***

# 9
{
  "formula": "InTe2Ir",
  "functional": "PBE",
  "state": "optimized geometry",
  "cell": [[-1.1627, -1.0182, 2.8231], [-2.8552, -1.0700, -1.5619], [3.7724, -8.0802, -1.3606]],
  "species": ["Te", "Te", "Ir", "In"],
  "frac_coords": [[0.0000, 0.0000, 0.9353], [0.0000, 0.0000, 0.5647], [0.5000, 0.5000, 0.7500], [0.5000, 0.5000, 0.2500]],
  "vol_a3_per_cell": 99,
  "energy_ev_per_atom": -4.23
}

***

# 10
{
  "formula": "InTe2Ir",
  "functional": "PBE",
  "state": "optimized geometry",
  "cell": [[-0.7044, -3.9994, 0.5775], [2.5400, -2.7866, -1.6149], [4.6342, -2.0967, 5.6980]],
  "species": ["Te", "Te", "Ir", "In"],
  "frac_coords": [[0.5228, 0.5228, 0.4316], [0.9772, 0.9772, 0.0684], [0.2500, 0.2500, 0.2500], [0.7500, 0.7500, 0.7500]],
  "vol_a3_per_cell": 106,
  "energy_ev_per_atom": -4.62
}

***

# 11
{
  "formula": "TiInTe2Ir",
  "functional": "PBE",
  "state": "optimized geometry",
  "cell": [[5.3408, 0.0000, 0.0000], [0.0000, 4.9785, 0.0000], [0.0000, 0.0000, 5.3408]],
  "species": ["Te", "Te", "In", "Ti", "Ir"],
  "frac_coords": [[0.0000, 0.0000, 0.5000], [0.5000, 0.0000, 0.0000], [0.0000, 0.5000, 0.0000], [0.5000, 0.5000, 0.5000], [0.0000, 0.0000, 0.0000]],
  "vol_a3_per_cell": 142,
  "energy_ev_per_atom": -4.53
}

***

# 12
{
  "formula": "TlIn2TeIr",
  "functional": "PBE",
  "state": "optimized geometry",
  "cell": [[-1.1713, 4.2184, 2.8545], [-3.5792, -2.7656, 2.6184], [3.6846, -1.3910, 3.5675]],
  "species": ["In", "In", "Ir", "Tl", "Te"],
  "frac_coords": [[0.5000, 0.0000, 0.0000], [0.0000, 0.5000, 0.0000], [0.0000, 0.0000, 0.0000], [0.0000, 0.0000, 0.5000], [0.5000, 0.5000, 0.5000]],
  "vol_a3_per_cell": 145,
  "energy_ev_per_atom": -4.01
}

***

# 13
{
  "formula": "InTeIr2W",
  "functional": "PBE",
  "state": "optimized geometry",
  "cell": [[4.8777, 0.0000, 0.0000], [0.0000, 5.2449, 0.0000], [0.0000, 0.0000, 4.8777]],
  "species": ["Ir", "Ir", "In", "W", "Te"],
  "frac_coords": [[0.0000, 0.0000, 0.5000], [0.5000, 0.0000, 0.0000], [0.0000, 0.0000, 0.0000], [0.5000, 0.5000, 0.5000], [0.0000, 0.5000, 0.0000]],
  "vol_a3_per_cell": 125,
  "energy_ev_per_atom": -4.91
}

***

# 14
{
  "formula": "Th2InIr9",
  "functional": "PBE",
  "state": "optimized geometry",
  "cell": [[-4.7322, 1.8231, -1.6162], [-1.9466, -1.4755, -4.7290], [-6.2515, -6.9183, 1.7365]],
  "species": ["Ir", "Ir", "Ir", "Ir", "Ir", "Ir", "Ir", "Ir", "Ir", "Th", "Th", "In"],
  "frac_coords": [[0.9184, 0.4182, 0.2452], [0.5818, 0.0816, 0.7548], [0.3328, 0.3328, 0.0017], [0.5818, 0.5818, 0.7548], [0.5000, 0.5000, 0.5000], [0.0816, 0.5818, 0.7548], [0.4182, 0.4182, 0.2452], [0.4182, 0.9184, 0.2452], [0.6672, 0.6672, 0.9983], [0.1355, 0.1355, 0.5934], [0.8645, 0.8645, 0.4066], [0.0000, 0.0000, 0.0000]],
  "vol_a3_per_cell": 220,
  "energy_ev_per_atom": -8.46
}

***

# 15
{
  "formula": "Th2InIr",
  "functional": "PBE",
  "state": "optimized geometry",
  "cell": [[-2.5413, -2.2985, -2.1409], [1.3105, -1.9243, -3.3021], [2.0257, -9.2682, 3.7332]],
  "species": ["In", "Th", "Th", "Ir"],
  "frac_coords": [[0.0000, 0.0000, 0.0000], [0.1127, 0.1127, 0.6618], [0.8873, 0.8873, 0.3382], [0.5000, 0.5000, 0.5000]],
  "vol_a3_per_cell": 140,
  "energy_ev_per_atom": -6.86
}

***

# 16
{
  "formula": "Th2InIr",
  "functional": "PBE",
  "state": "optimized geometry",
  "cell": [[-3.3718, -0.2095, 2.2726], [1.0063, -3.1037, -2.4357], [6.2606, -2.2331, 5.4473]],
  "species": ["Th", "Th", "In", "Ir"],
  "frac_coords": [[0.5348, 0.2677, 0.8025], [0.4652, 0.7323, 0.1975], [0.0000, 0.5000, 0.5000], [0.0000, 0.0000, 0.0000]],
  "vol_a3_per_cell": 119,
  "energy_ev_per_atom": -7.17
}

***

# 17
{
  "formula": "ThInIr4",
  "functional": "PBE",
  "state": "optimized geometry",
  "cell": [[-0.8533, 3.8985, 3.6207], [-4.9546, 0.8287, 1.9497], [-1.1310, -1.2719, 5.1126]],
  "species": ["Ir", "Ir", "Ir", "Ir", "In", "Th"],
  "frac_coords": [[0.6259, 0.1222, 0.6259], [0.1222, 0.6259, 0.6259], [0.6259, 0.6259, 0.6259], [0.6259, 0.6259, 0.1222], [0.0000, 0.0000, 0.0000], [0.2500, 0.2500, 0.2500]],
  "vol_a3_per_cell": 111,
  "energy_ev_per_atom": -8.06
}

***

# 18
{
  "formula": "ThInIr2",
  "functional": "PBE",
  "state": "optimized geometry",
  "cell": [[3.8778, 0.0000, 0.0000], [0.0000, 4.5630, 0.0000], [0.0000, 0.0000, 4.5630]],
  "species": ["Th", "In", "Ir", "Ir"],
  "frac_coords": [[0.5000, 0.5000, 0.5000], [0.5000, 0.0000, 0.0000], [0.0000, 0.5000, 0.0000], [0.0000, 0.0000, 0.5000]],
  "vol_a3_per_cell": 81,
  "energy_ev_per_atom": -7.44
}

***

# 19
{
  "formula": "Th2In8Ir",
  "functional": "PBE",
  "state": "optimized geometry",
  "cell": [[-0.4718, 4.6556, -0.7581], [-4.2599, -0.7478, -1.9406], [-5.2603, 1.2677, 11.0586]],
  "species": ["In", "In", "In", "In", "In", "In", "In", "In", "Ir", "Th", "Th"],
  "frac_coords": [[0.5000, 0.0000, 0.5000], [0.0000, 0.5000, 0.5000], [0.5000, 0.5000, 0.6925], [0.0000, 0.5000, 0.8796], [0.5000, 0.0000, 0.8796], [0.5000, 0.5000, 0.3075], [0.5000, 0.0000, 0.1204], [0.0000, 0.5000, 0.1204], [0.0000, 0.0000, 0.0000], [0.0000, 0.0000, 0.3047], [0.0000, 0.0000, 0.6953]],
  "vol_a3_per_cell": 277,
  "energy_ev_per_atom": -4.49
}

***

# 20
{
  "formula": "Th3InIr8",
  "functional": "PBE",
  "state": "optimized geometry",
  "cell": [[-5.1567, -1.3750, 0.9883], [-2.0370, -4.5758, -2.0909], [0.1738, -6.4320, 6.8619]],
  "species": ["Ir", "Ir", "Ir", "Ir", "Ir", "Ir", "Ir", "Ir", "In", "Th", "Th", "Th"],
  "frac_coords": [[0.6880, 0.6880, 0.9360], [0.4371, 0.4371, 0.1851], [0.9373, 0.4384, 0.6871], [0.4371, 0.9407, 0.1851], [0.9373, 0.9373, 0.6871], [0.1885, 0.1885, 0.4344], [0.9407, 0.4371, 0.1851], [0.4384, 0.9373, 0.6871], [0.8707, 0.8707, 0.3878], [0.3765, 0.3765, 0.8704], [0.9936, 0.9936, 0.0192], [0.5048, 0.5048, 0.4856]],
  "vol_a3_per_cell": 226,
  "energy_ev_per_atom": -8.65
}

***

no.,density of states at the Fermi level (states/eV/f.u.)
1,3.4
2,1.7
3,3.0
4,11.8
5,2.8
6,4.8
7,1.6
8,1.9
9,2.1
10,2.0
11,5.8
12,2.7
13,5.7
14,12.0
15,5.3
16,4.3
17,8.2
18,2.1
19,3.6
20,7.3